## CuOsAu2 (PBE-GGA)

Data for a relaxed CuOsAu2 crystal.

Mass density, Mg/m³: 17.1
Spin magnetization, μB per cell: 0.00
Energy above the most stable polymorph in this dataset, meV/atom: 184

abc: 2.715 4.023 5.756
angles: 90.00 90.00 90.00
Fractional positions:
1 Au 0.000 0.000 0.003
2 Au 0.000 0.000 0.497
3 Cu 0.500 0.500 0.250
4 Os 0.500 0.500 0.750

***

## CuOsAu2 (PBE-GGA)

Data for a relaxed CuOsAu2 crystal.

Mass density, Mg/m³: 17.2
Spin magnetization, μB per cell: 0.00
Energy above the most stable polymorph in this dataset, meV/atom: 60

abc: 9.266 9.266 9.266
angles: 17.45 17.45 17.45
Fractional positions:
1 Au 0.997 0.997 0.997
2 Au 0.503 0.503 0.503
3 Cu 0.250 0.250 0.250
4 Os 0.750 0.750 0.750

***

## Cu3OsAu (PBE-GGA)

Data for a relaxed Cu3OsAu crystal.

Mass density, Mg/m³: 9.7
Spin magnetization, μB per cell: 2.30
Energy above the most stable polymorph in this dataset, meV/atom: 289

abc: 4.632 4.632 4.632
angles: 90.00 90.00 90.00
Fractional positions:
1 Cu 0.500 0.000 0.000
2 Cu 0.000 0.000 0.500
3 Cu 0.000 0.500 0.000
4 Os 0.500 0.500 0.500
5 Au 0.000 0.000 0.000

***

What did the first record say?
## CuOsAu2 (PBE-GGA)

Data for a relaxed CuOsAu2 crystal.

Mass density, Mg/m³: 17.1
Spin magnetization, μB per cell: 0.00
Energy above the most stable polymorph in this dataset, meV/atom: 184

abc: 2.715 4.023 5.756
angles: 90.00 90.00 90.00
Fractional positions:
1 Au 0.000 0.000 0.003
2 Au 0.000 0.000 0.497
3 Cu 0.500 0.500 0.250
4 Os 0.500 0.500 0.750

***

What is the mass density in the first record? 17.1 Mg/m³

***

Which of these has the lowest energy above the most stable polymorph in this dataset? number 2

***

Which of these has the lowest mass density? Cu3OsAu